Material: Rb2CCl4
Method: DFT, PBE
State: optimized geometry

Spin magnetization, μB/f.u.: 0.00
Uncorrected formation energy, eV/atom: -0.509
Total energy, eV/atom: -3.16
Crystal system: tetragonal

```
7
Lattice="4.7705 0.0000 0.0000 0.0000 4.7705 0.0000 2.3853 2.3853 8.1868" Properties=species:S:1:pos:R:3 pbc="T T T"
C 0.0000 0.0000 0.0000
Rb 2.3853 2.3853 2.3439
Rb 4.7705 4.7705 5.8428
Cl 2.3853 2.3853 5.7639
Cl 0.0000 2.3853 0.0000
Cl 2.3853 0.0000 0.0000
Cl 4.7705 4.7705 2.4229
```